The following is a DFT calculation (PBE+U) of a relaxed structure of SrCrIO6.

Values from the calculation:
energy: -54.1 eV/cell

abc: 5.224 5.224 5.425
angles: 90.00 90.00 120.00
Element x y z (fractional)
Sr: 0.000 0.000 0.000
Cr: 0.667 0.333 0.500
I: 0.333 0.667 0.500
O: 0.016 0.384 0.300
O: 0.016 0.632 0.700
O: 0.368 0.384 0.700
O: 0.368 0.984 0.300
O: 0.616 0.632 0.300
O: 0.616 0.984 0.700